PBE ReAs2Au, relaxed; ΔH_f (0 K) = 0.43 eV per atom; ρ = 12.901 g cm⁻³; energy = -23.30 eV/cell; magnetic moment = 0.000 Bohr magnetons per cell
1.0
-1.604 -1.980 1.950
-0.977 -2.293 -3.132
4.438 -2.881 0.726
As Au Re
2 1 1
direct
0.500 0.500 0.308
0.000 0.000 0.944
0.000 0.000 0.462
0.500 0.500 0.786

---

PBE HfZr2Sc8, relaxed; ΔH_f (0 K) = 0.03 eV per atom; ρ = 4.565 g cm⁻³; energy = -77.39 eV/cell; magnetic moment = 0.000 Bohr magnetons per cell
1.0
8.511 0.743 -0.755
-1.535 4.249 0.503
-1.066 -1.220 7.027
Sc Zr Hf
8 2 1
direct
0.353 0.176 0.905
0.450 0.725 0.637
0.174 0.087 0.451
0.647 0.824 0.095
0.738 0.369 0.825
0.826 0.913 0.549
0.550 0.275 0.363
0.262 0.631 0.175
0.089 0.544 0.734
0.911 0.456 0.266
0.000 0.000 0.000

---

PBE SrGaHg, relaxed; ΔH_f (0 K) = -0.49 eV per atom; ρ = 7.412 g cm⁻³; energy = -12.94 eV/cell; magnetic moment = 0.000 Bohr magnetons per cell
1.0
-1.787 3.116 3.248
-6.184 -0.234 0.432
-0.737 -2.588 5.686
Sr Hg Ga
2 2 2
direct
0.538 0.220 0.704
0.462 0.780 0.296
0.178 0.373 0.271
0.822 0.627 0.729
0.152 0.801 0.895
0.848 0.199 0.105

---

PBE Ta3MoP, relaxed; ΔH_f (0 K) = 1.55 eV per atom; ρ = 9.913 g cm⁻³; energy = -44.03 eV/cell; magnetic moment = 0.000 Bohr magnetons per cell
1.0
-2.656 -3.822 1.266
-0.146 -1.425 -4.606
4.023 -2.574 0.669
Ta Mo P
3 1 1
direct
0.500 0.000 0.000
0.000 0.500 0.000
0.000 0.000 0.500
0.000 0.000 0.000
0.500 0.500 0.500

---

PBE NaCa6Pb5, relaxed; ΔH_f (0 K) = -0.49 eV per atom; ρ = 5.875 g cm⁻³; energy = -37.74 eV/cell; magnetic moment = 0.000 Bohr magnetons per cell
1.0
5.308 -0.030 1.769
0.038 7.630 0.013
-0.066 -0.015 9.047
Pb Ca Na
5 6 1
direct
0.000 0.500 0.000
0.652 0.000 0.697
0.337 0.500 0.325
0.348 0.000 0.303
0.663 0.500 0.675
0.826 0.754 0.349
0.174 0.754 0.651
0.500 0.739 0.000
0.174 0.246 0.651
0.826 0.246 0.349
0.500 0.261 0.000
0.000 0.000 0.000

---

PBE Zr2ScSb, relaxed; ρ = 6.366 g cm⁻³; energy = -29.25 eV/cell; formation energy (no corrections) = -0.43 eV per atom; magnetic moment = 0.001 Bohr magnetons per cell
1.0
3.756 0.000 0.000
0.000 3.756 0.000
0.000 0.000 6.457
Sc Sb Zr
1 1 2
direct
0.500 0.500 0.739
0.000 0.000 0.499
0.500 0.500 0.257
0.000 0.000 0.005

---

Q: Which of these has the highest magnetic moment?
A: Zr2ScSb

---

Q: The highest magnetic moment belongs to which entry?
A: Zr2ScSb

---

Q: Number 2 is which compound?
A: HfZr2Sc8